# 1
# BaTiCoH2, optimized geometry, DFT PBE
# Total DFT energy (no corrections) ... -4.12 eV per atom
data_BaTiCoH2
_space_group_name_H-M_alt 'P 1'
_space_group_IT_number 1
_space_group_name_Hall 'P 1'
_cell_length_a 4.293
_cell_length_b 4.293
_cell_length_c 4.244
_cell_angle_alpha 90.00
_cell_angle_beta 90.00
_cell_angle_gamma 90.00
loop_
_atom_site_label
_atom_site_type_symbol
_atom_site_fract_x
_atom_site_fract_y
_atom_site_fract_z
Ba1 Ba 0.000 0.000 0.000
Ti1 Ti 0.500 0.500 0.000
Co1 Co 0.500 0.500 0.500
H1 H 0.000 0.500 0.500
H2 H 0.500 0.000 0.500


# 2
# Ba2TlCoH6, optimized geometry, DFT PBE
# Total DFT energy (no corrections) ... -3.68 eV per atom
data_Ba2TlCoH6
_space_group_name_H-M_alt 'P 1'
_space_group_IT_number 1
_space_group_name_Hall 'P 1'
_cell_length_a 5.198
_cell_length_b 5.198
_cell_length_c 7.421
_cell_angle_alpha 90.00
_cell_angle_beta 90.00
_cell_angle_gamma 120.00
loop_
_atom_site_label
_atom_site_type_symbol
_atom_site_fract_x
_atom_site_fract_y
_atom_site_fract_z
Ba1 Ba 0.333 0.667 0.299
Ba2 Ba 0.667 0.333 0.701
Tl1 Tl 0.000 0.000 0.000
Co1 Co 0.000 0.000 0.500
H1 H 0.144 0.288 0.617
H2 H 0.144 0.856 0.617
H3 H 0.288 0.144 0.383
H4 H 0.712 0.856 0.617
H5 H 0.856 0.144 0.383
H6 H 0.856 0.712 0.383


# 3
# BaV2CoH, optimized geometry, DFT PBE
# Total DFT energy (no corrections) ... -3.86 eV per atom
data_BaV2CoH
_space_group_name_H-M_alt 'P 1'
_space_group_IT_number 1
_space_group_name_Hall 'P 1'
_cell_length_a 5.129
_cell_length_b 5.129
_cell_length_c 3.579
_cell_angle_alpha 90.00
_cell_angle_beta 90.00
_cell_angle_gamma 90.00
loop_
_atom_site_label
_atom_site_type_symbol
_atom_site_fract_x
_atom_site_fract_y
_atom_site_fract_z
Ba1 Ba 0.000 0.000 0.000
V1 V 0.000 0.500 0.000
V2 V 0.500 0.000 0.000
Co1 Co 0.500 0.500 0.500
H1 H 0.000 0.000 0.500


# 4
# BaHf2Co, optimized geometry, DFT PBE
# Excess energy over the best structure of this formula in the dataset ... 0.0 kJ/mol of atoms
# Formation energy ... 0.82 eV per atom
data_BaHf2Co
_space_group_name_H-M_alt 'P 1'
_space_group_IT_number 1
_space_group_name_Hall 'P 1'
_cell_length_a 4.923
_cell_length_b 4.923
_cell_length_c 4.923
_cell_angle_alpha 60.00
_cell_angle_beta 60.00
_cell_angle_gamma 60.00
loop_
_atom_site_label
_atom_site_type_symbol
_atom_site_fract_x
_atom_site_fract_y
_atom_site_fract_z
Ba1 Ba 0.000 0.000 0.000
Hf1 Hf 0.250 0.250 0.250
Hf2 Hf 0.750 0.750 0.750
Co1 Co 0.500 0.500 0.500


# 5
# Ba2Hf2Co, optimized geometry, DFT PBE
# Excess energy over the best structure of this formula in the dataset ... 99.4 kJ/mol of atoms
# Formation energy ... 1.51 eV per atom
data_Ba2Hf2Co
_space_group_name_H-M_alt 'P 1'
_space_group_IT_number 1
_space_group_name_Hall 'P 1'
_cell_length_a 9.049
_cell_length_b 9.049
_cell_length_c 9.049
_cell_angle_alpha 153.05
_cell_angle_beta 153.05
_cell_angle_gamma 38.48
loop_
_atom_site_label
_atom_site_type_symbol
_atom_site_fract_x
_atom_site_fract_y
_atom_site_fract_z
Ba1 Ba 0.250 0.750 0.500
Ba2 Ba 0.750 0.250 0.500
Hf1 Hf 0.074 0.074 0.000
Hf2 Hf 0.926 0.926 0.000
Co1 Co 0.500 0.500 0.000


# 6
# BaHfCo3, optimized geometry, DFT PBE
# Excess energy over the best structure of this formula in the dataset ... 110.0 kJ/mol of atoms
# Formation energy ... 1.99 eV per atom
data_BaHfCo3
_space_group_name_H-M_alt 'P 1'
_space_group_IT_number 1
_space_group_name_Hall 'P 1'
_cell_length_a 4.672
_cell_length_b 4.672
_cell_length_c 4.672
_cell_angle_alpha 90.00
_cell_angle_beta 90.00
_cell_angle_gamma 90.00
loop_
_atom_site_label
_atom_site_type_symbol
_atom_site_fract_x
_atom_site_fract_y
_atom_site_fract_z
Ba1 Ba 0.000 0.000 0.000
Hf1 Hf 0.500 0.500 0.500
Co1 Co 0.000 0.000 0.500
Co2 Co 0.000 0.500 0.000
Co3 Co 0.500 0.000 0.000


# 7
# BaHfCo3, optimized geometry, DFT PBE
# Excess energy over the best structure of this formula in the dataset ... 0.0 kJ/mol of atoms
# Formation energy ... 0.85 eV per atom
data_BaHfCo3
_space_group_name_H-M_alt 'P 1'
_space_group_IT_number 1
_space_group_name_Hall 'P 1'
_cell_length_a 4.795
_cell_length_b 4.795
_cell_length_c 4.795
_cell_angle_alpha 90.00
_cell_angle_beta 90.00
_cell_angle_gamma 90.00
loop_
_atom_site_label
_atom_site_type_symbol
_atom_site_fract_x
_atom_site_fract_y
_atom_site_fract_z
Ba1 Ba 0.000 0.000 0.000
Hf1 Hf 0.500 0.500 0.500
Co1 Co 0.000 0.500 0.500
Co2 Co 0.500 0.000 0.500
Co3 Co 0.500 0.500 0.000


# 8
# BaHf2Co, optimized geometry, DFT PBE
# Excess energy over the best structure of this formula in the dataset ... 6.2 kJ/mol of atoms
# Formation energy ... 0.89 eV per atom
data_BaHf2Co
_space_group_name_H-M_alt 'P 1'
_space_group_IT_number 1
_space_group_name_Hall 'P 1'
_cell_length_a 8.615
_cell_length_b 8.615
_cell_length_c 8.615
_cell_angle_alpha 139.28
_cell_angle_beta 139.28
_cell_angle_gamma 58.95
loop_
_atom_site_label
_atom_site_type_symbol
_atom_site_fract_x
_atom_site_fract_y
_atom_site_fract_z
Ba1 Ba 0.375 0.625 0.750
Ba2 Ba 0.625 0.375 0.250
Hf1 Hf 0.000 0.000 0.000
Hf2 Hf 0.000 0.000 0.500
Hf3 Hf 0.000 0.500 0.000
Hf4 Hf 0.500 0.000 0.500
Co1 Co 0.125 0.875 0.250
Co2 Co 0.875 0.125 0.750


# 9
# Ba3HfCo, optimized geometry, DFT PBE
# Formation energy ... 1.39 eV per atom
data_Ba3HfCo
_space_group_name_H-M_alt 'P 1'
_space_group_IT_number 1
_space_group_name_Hall 'P 1'
_cell_length_a 6.255
_cell_length_b 6.255
_cell_length_c 6.255
_cell_angle_alpha 90.00
_cell_angle_beta 90.00
_cell_angle_gamma 90.00
loop_
_atom_site_label
_atom_site_type_symbol
_atom_site_fract_x
_atom_site_fract_y
_atom_site_fract_z
Ba1 Ba 0.000 0.000 0.500
Ba2 Ba 0.000 0.500 0.000
Ba3 Ba 0.500 0.000 0.000
Hf1 Hf 0.000 0.000 0.000
Co1 Co 0.500 0.500 0.500


# 10
# Ba2Hf2Co, optimized geometry, DFT PBE
# Excess energy over the best structure of this formula in the dataset ... 0.0 kJ/mol of atoms
# Formation energy ... 0.48 eV per atom
data_Ba2Hf2Co
_space_group_name_H-M_alt 'P 1'
_space_group_IT_number 1
_space_group_name_Hall 'P 1'
_cell_length_a 6.741
_cell_length_b 6.741
_cell_length_c 6.196
_cell_angle_alpha 90.00
_cell_angle_beta 90.00
_cell_angle_gamma 90.00
loop_
_atom_site_label
_atom_site_type_symbol
_atom_site_fract_x
_atom_site_fract_y
_atom_site_fract_z
Ba1 Ba 0.185 0.315 0.000
Ba2 Ba 0.315 0.815 0.000
Ba3 Ba 0.685 0.185 0.000
Ba4 Ba 0.815 0.685 0.000
Hf1 Hf 0.164 0.664 0.500
Hf2 Hf 0.336 0.164 0.500
Hf3 Hf 0.664 0.836 0.500
Hf4 Hf 0.836 0.336 0.500
Co1 Co 0.000 0.000 0.500
Co2 Co 0.500 0.500 0.500


# 11
# BaHf2Co2, optimized geometry, DFT PBE
# Formation energy ... 0.03 eV per atom
data_BaHf2Co2
_space_group_name_H-M_alt 'P 1'
_space_group_IT_number 1
_space_group_name_Hall 'P 1'
_cell_length_a 6.959
_cell_length_b 6.959
_cell_length_c 6.959
_cell_angle_alpha 143.61
_cell_angle_beta 143.61
_cell_angle_gamma 52.41
loop_
_atom_site_label
_atom_site_type_symbol
_atom_site_fract_x
_atom_site_fract_y
_atom_site_fract_z
Ba1 Ba 0.000 0.000 0.000
Hf1 Hf 0.250 0.750 0.500
Hf2 Hf 0.750 0.250 0.500
Co1 Co 0.361 0.361 0.000
Co2 Co 0.639 0.639 0.000


# 12
# BaHfMn2Co, optimized geometry, DFT PBE
# Formation energy ... 2.03 eV per atom
data_BaHfMn2Co
_space_group_name_H-M_alt 'P 1'
_space_group_IT_number 1
_space_group_name_Hall 'P 1'
_cell_length_a 5.030
_cell_length_b 5.030
_cell_length_c 4.712
_cell_angle_alpha 90.00
_cell_angle_beta 90.00
_cell_angle_gamma 90.00
loop_
_atom_site_label
_atom_site_type_symbol
_atom_site_fract_x
_atom_site_fract_y
_atom_site_fract_z
Ba1 Ba 0.000 0.000 0.000
Hf1 Hf 0.500 0.500 0.500
Mn1 Mn 0.000 0.500 0.000
Mn2 Mn 0.500 0.000 0.000
Co1 Co 0.000 0.000 0.500


no.,M_tot (μB/cell)
1,0.00
2,0.00
3,4.76
4,0.00
5,1.24
6,0.00
7,1.34
8,0.00
9,3.13
10,0.00
11,0.00
12,7.36